Here is a geometry-optimized K2TeMo structure from the Alexandria database. Energies are from PBE.

## Properties
Energy relative to the elements, uncorrected: 1.4 eV/f.u.
Space-group type: P4mm, No. 99
DOS at the Fermi energy: 0.87 states/eV per atom

abc: 3.6122 3.6122 10.5378
angles: 90.00 90.00 90.00
Positions (direct):
K 0.0000 0.0000 0.0000
K 0.5000 0.5000 0.4038
Te 0.5000 0.5000 0.7533
Mo 0.0000 0.0000 0.6520